Below is RbAgRu2 after structural relaxation, with properties calculated at the PBE level.

```
data_RbAgRu2
_chemical_formula_sum 'Rb4 Ag4 Ru8'
_cell_length_a 6.805
_cell_length_b 6.805
_cell_length_c 6.805
_cell_angle_alpha 90.00
_cell_angle_beta 90.00
_cell_angle_gamma 90.00
_space_group_name_H-M_alt 'F m -3 m'
_space_group_IT_number 225
_space_group_name_Hall '-F 4 2 3'
loop_
_atom_site_label
_atom_site_fract_x
_atom_site_fract_y
_atom_site_fract_z
Rb1 0.000 0.000 0.000
Ag1 0.000 0.000 0.500
Ru1 0.250 0.250 0.250
```

Calculated values
ΔE_f, kJ per mole of atoms: 162.1
Density of states at the Fermi level, states/eV per atom: 1.008
E_tot, eV/atom: -3.913
Spin magnetization, μB/atom: 0.959

Below is Pm6HgPd5 after structural relaxation, with properties calculated at the PBE level.

```
data_Pm6HgPd5
_chemical_formula_sum 'Pm12 Hg2 Pd10'
_cell_length_a 7.540
_cell_length_b 11.972
_cell_length_c 7.346
_cell_angle_alpha 90.00
_cell_angle_beta 106.33
_cell_angle_gamma 90.00
_space_group_name_H-M_alt 'C 1 2/m 1'
_space_group_IT_number 12
_space_group_name_Hall '-C 2y'
loop_
_atom_site_label
_atom_site_fract_x
_atom_site_fract_y
_atom_site_fract_z
Pm1 0.209 0.000 0.227
Pm2 0.224 0.178 0.724
Hg1 0.000 0.500 0.000
Pd1 0.000 0.000 0.500
Pd2 0.000 0.185 0.000
Pd3 0.000 0.364 0.500
```

Calculated values
ΔE_f, kJ per mole of atoms: -60.2
Density of states at the Fermi level, states/eV per atom: 0.639
E_tot, eV/atom: -5.188
Spin magnetization, μB/atom: 0.000

Below is NaSrTl2Cu after structural relaxation, with properties calculated at the PBE level.

```
data_NaSrTl2Cu
_chemical_formula_sum 'Na1 Sr1 Tl2 Cu1'
_cell_length_a 5.259
_cell_length_b 5.259
_cell_length_c 5.312
_cell_angle_alpha 90.00
_cell_angle_beta 90.00
_cell_angle_gamma 90.00
_space_group_name_H-M_alt 'P 4/m m m'
_space_group_IT_number 123
_space_group_name_Hall '-P 4 2'
loop_
_atom_site_label
_atom_site_fract_x
_atom_site_fract_y
_atom_site_fract_z
Na1 0.000 0.000 0.000
Sr1 0.500 0.500 0.000
Tl1 0.000 0.500 0.500
Cu1 0.000 0.000 0.500
```

Calculated values
ΔE_f, kJ per mole of atoms: -1.2
Density of states at the Fermi level, states/eV per atom: 0.654
E_tot, eV/atom: -2.378
Spin magnetization, μB/atom: 0.000

Below is LaHf2Os2 after structural relaxation, with properties calculated at the PBE level.

```
data_LaHf2Os2
_chemical_formula_sum 'La2 Hf4 Os4'
_cell_length_a 8.108
_cell_length_b 8.108
_cell_length_c 3.076
_cell_angle_alpha 90.00
_cell_angle_beta 90.00
_cell_angle_gamma 90.00
_space_group_name_H-M_alt 'P 4/m b m'
_space_group_IT_number 127
_space_group_name_Hall '-P 4 2ab'
loop_
_atom_site_label
_atom_site_fract_x
_atom_site_fract_y
_atom_site_fract_z
La1 0.000 0.000 0.000
Hf1 0.137 0.363 0.000
Os1 0.151 0.651 0.500
```

Calculated values
ΔE_f, kJ per mole of atoms: -15.3
Density of states at the Fermi level, states/eV per atom: 1.148
E_tot, eV/atom: -9.618
Spin magnetization, μB/atom: 0.000

Below is Fe5H4Pt after structural relaxation, with properties calculated at the PBE level.

```
data_Fe5H4Pt
_chemical_formula_sum 'Fe10 H8 Pt2'
_cell_length_a 8.576
_cell_length_b 2.652
_cell_length_c 8.314
_cell_angle_alpha 90.00
_cell_angle_beta 118.06
_cell_angle_gamma 90.00
_space_group_name_H-M_alt 'C 1 2/m 1'
_space_group_IT_number 12
_space_group_name_Hall '-C 2y'
loop_
_atom_site_label
_atom_site_fract_x
_atom_site_fract_y
_atom_site_fract_z
Fe1 0.000 0.000 0.000
Fe2 0.156 0.500 0.850
Fe3 0.196 0.500 0.331
H1 0.014 0.000 0.218
H2 0.176 0.500 0.086
Pt1 0.000 0.500 0.500
```

Calculated values
Density of states at the Fermi level, states/eV per atom: 0.694
E_tot, eV/atom: -6.145
Spin magnetization, μB/atom: 1.185

Below is Pm6NpO12 after structural relaxation, with properties calculated at the PBE level.

```
data_Pm6NpO12
_chemical_formula_sum 'Pm18 Np3 O36'
_cell_length_a 10.2520
_cell_length_b 10.2520
_cell_length_c 9.7566
_cell_angle_alpha 90.00
_cell_angle_beta 90.00
_cell_angle_gamma 120.00
_space_group_name_H-M_alt 'R -3'
_space_group_IT_number 148
_space_group_name_Hall '-R 3'
loop_
_atom_site_label
_atom_site_fract_x
_atom_site_fract_y
_atom_site_fract_z
Pm1 0.0416 0.7879 0.1426
Np1 0.0000 0.0000 0.5000
O1 0.0339 0.8105 0.9010
O2 0.0387 0.8474 0.3901
```

Calculated values
E_tot, eV/atom: -8.694
Spin magnetization, μB/atom: 0.053
Formation energy from raw total energies, eV/atom: -3.381

What did the fifth record say?
Below is Fe5H4Pt after structural relaxation, with properties calculated at the PBE level.

```
data_Fe5H4Pt
_chemical_formula_sum 'Fe10 H8 Pt2'
_cell_length_a 8.576
_cell_length_b 2.652
_cell_length_c 8.314
_cell_angle_alpha 90.00
_cell_angle_beta 118.06
_cell_angle_gamma 90.00
_space_group_name_H-M_alt 'C 1 2/m 1'
_space_group_IT_number 12
_space_group_name_Hall '-C 2y'
loop_
_atom_site_label
_atom_site_fract_x
_atom_site_fract_y
_atom_site_fract_z
Fe1 0.000 0.000 0.000
Fe2 0.156 0.500 0.850
Fe3 0.196 0.500 0.331
H1 0.014 0.000 0.218
H2 0.176 0.500 0.086
Pt1 0.000 0.500 0.500
```

Calculated values
Density of states at the Fermi level, states/eV per atom: 0.694
E_tot, eV/atom: -6.145
Spin magnetization, μB/atom: 1.185